A geometry-optimized ScZnMo structure. Source: Alexandria, functional PBE.

abc: 3.0121 3.0121 6.8376
angles: 90.00 90.00 120.00
Fractional positions:
Mo (0.0000, 0.0000, 0.9942)
Sc (0.6667, 0.3333, 0.3276)
Zn (0.3333, 0.6667, 0.6782)

Results
SG: P3m1 (156)
Energy above the lowest structure with this stoichiometry: 0.166 eV per atom